This record from the Alexandria database describes Mg2Al2W after structural relaxation. The functional is PBE.

Properties
ΔE_f ... 0.40 eV per atom
Space-group type ... P4/mbm (127)
N(E_F) ... 0.674 states/eV per atom
Calculated total energy ... -43.3 eV/cell

a b c (Å): 7.3194 7.3194 3.2496
angles (deg): 90.00 90.00 90.00
Element x y z (fractional)
Mg 0.1692 0.3308 0.0000
Mg 0.3308 0.8308 0.0000
Mg 0.6692 0.1692 0.0000
Mg 0.8308 0.6692 0.0000
Al 0.1327 0.6327 0.5000
Al 0.3673 0.1327 0.5000
Al 0.6327 0.8673 0.5000
Al 0.8673 0.3673 0.5000
W 0.0000 0.0000 0.5000
W 0.5000 0.5000 0.5000